Below is a geometry-optimized Pr6Pd2Au structure, with properties calculated at the PBE level.

As for the crystal system: orthorhombic. For the formation energy from the elements, the calculation gives -494 meV/atom.

Cell: 9.737 10.220 10.561 Å, 90.00 90.00 90.00°
Space group Immm (No. 71)
One atom of each set of equivalent atoms:
Pr1 0.000 0.190 0.239 x8
Pr2 0.202 0.500 0.170 x8
Pr3 0.219 0.324 0.500 x8
Pd1 0.000 0.350 0.000 x4
Pd2 0.000 0.500 0.369 x4
Au1 0.000 0.000 0.000 x2
Au2 0.000 0.000 0.500 x2

Below is a geometry-optimized CePrTePb structure, with properties calculated at the PBE level.

As for the crystal system: trigonal. Its energy above the most stable polymorph in this dataset is 0.0000 eV per atom.

Cell: 4.5639 4.5639 22.3298 Å, 90.00 90.00 120.00°
Space group R3m (No. 160, hexagonal axes)
One atom of each set of equivalent atoms:
Ce1 0.0000 0.0000 0.0000 x3
Pr1 0.0000 0.0000 0.4973 x3
Te1 0.0000 0.0000 0.2499 x3
Pb1 0.0000 0.0000 0.7470 x3

Below is a geometry-optimized LaSb structure, with properties calculated at the PBE level.

As for the crystal system: hexagonal.

Cell: 5.5567 5.5567 6.4816 Å, 90.00 90.00 120.00°
Space group P6_3/mmc (No. 194)
One atom of each set of equivalent atoms:
La1 0.3333 0.6667 0.2500 x2
Sb1 0.3333 0.6667 0.7500 x2

Below is a geometry-optimized NaHoTm2Se4 structure, with properties calculated at the PBE level.

As for the crystal system: monoclinic.

Cell: 7.057 4.025 7.059 Å, 90.00 108.89 90.00°
Space group P2/m (No. 10)
One atom of each set of equivalent atoms:
Na1 0.000 0.000 0.000 x1
Ho1 0.500 0.500 0.000 x1
Tm1 0.000 0.500 0.500 x1
Tm2 0.500 0.000 0.500 x1
Se1 0.249 0.000 0.747 x2
Se2 0.255 0.500 0.257 x2

| no. | total energy (eV/cell) |
| --- | --- |
| 1 | -187.1 |
| 2 | -64.1 |
| 3 | -22.2 |
| 4 | -42.3 |